Entry 1:
Entry from Alexandria: crystalline GeHRu2 at its relaxed geometry (PBE).

Cell: 5.7313 5.7313 5.7313 Å, 38.99 38.99 38.99°
Closest atoms and distances in Å follow each position.
Fractional coordinates of all 4 atoms:
Ge (0.0000, 0.0000, 0.0000)  6 Ru 2.42
H (0.5000, 0.5000, 0.5000)  2 Ru 1.66
Ru (0.3951, 0.3951, 0.3951)  1 H 1.66
Ru (0.6049, 0.6049, 0.6049)  1 H 1.66

Summary:
- excess energy over the best structure of this formula in the dataset (meV per atom) = 506
- SG = R-3m (166)

---

Entry 2:
Entry from Alexandria: crystalline Mg4Sb at its relaxed geometry (PBE).

Cell: 5.4563 5.4563 5.4563 Å, 90.00 90.00 90.00°
Closest atoms and distances in Å follow each position.
Fractional coordinates of all 5 atoms:
Mg (0.0000, 0.0000, 0.0000)  12 Mg 3.86
Mg (0.0000, 0.5000, 0.5000)  2 Sb 2.73
Mg (0.5000, 0.0000, 0.5000)  2 Sb 2.73
Mg (0.5000, 0.5000, 0.0000)  2 Sb 2.73
Sb (0.5000, 0.5000, 0.5000)  6 Mg 2.73

Summary:
- excess energy over the best structure of this formula in the dataset (meV per atom) = 104
- formation energy (no corrections) (eV/f.u.) = 1.64
- SG = Pm-3m (221)

---

Entry 3:
Entry from Alexandria: crystalline TaCuTe2 at its relaxed geometry (PBE).

Cell: 4.8840 4.8840 4.8840 Å, 60.00 60.00 60.00°
Closest atoms and distances in Å follow each position.
Fractional coordinates of all 4 atoms:
Ta (0.0000, 0.0000, 0.0000)  8 Te 2.99
Cu (0.5000, 0.5000, 0.5000)  8 Te 2.99
Te (0.2500, 0.2500, 0.2500)  4 Ta 2.99, 4 Cu 2.99
Te (0.7500, 0.7500, 0.7500)  4 Ta 2.99, 4 Cu 2.99

Summary:
- formation energy (no corrections) (eV/f.u.) = 1.43
- SG = Fm-3m (225)

---

| no. | total magnetization (μB per atom) |
| --- | --- |
| 1 | 0.000 |
| 2 | 0.000 |
| 3 | 0.303 |